(1)
Below is a relaxed Ac4Zn2Os crystal, with properties calculated at the PBE level.

Calculated values
DOS at the Fermi energy = 6.481 states/eV/f.u.
SG = No. 12
ΔH_f (0 K) = -0.124 eV/atom
Electronic total energy = -31.08 eV for the cell shown

a b c (Å): 7.433 7.433 9.427
angles (deg): 124.00 124.00 34.21
Positions (direct):
Ac1 0.083 0.083 0.366
Ac2 0.336 0.336 0.925
Ac3 0.664 0.664 0.075
Ac4 0.917 0.917 0.634
Zn1 0.390 0.390 0.339
Zn2 0.610 0.610 0.661
Os1 0.000 0.000 0.000

(2)
Below is a relaxed AcP3 crystal, with properties calculated at the PBE level.

Calculated values
DOS at the Fermi energy = 2.689 states/eV/f.u.
SG = No. 139
ΔH_f (0 K) = -0.212 eV/atom
Electronic total energy = -21.18 eV for the cell shown
Relative energy among the computed polymorphs = 360 meV/atom

a b c (Å): 6.242 6.242 6.242
angles (deg): 140.31 140.31 57.38
Positions (direct):
Ac1 0.000 0.000 0.000
P1 0.278 0.278 0.000
P2 0.500 0.500 0.000
P3 0.722 0.722 0.000

(3)
Below is a relaxed AcP6 crystal, with properties calculated at the PBE level.

Calculated values
DOS at the Fermi energy = 5.408 states/eV/f.u.
SG = No. 229
ΔH_f (0 K) = 0.151 eV/atom
Electronic total energy = -35.51 eV for the cell shown

a b c (Å): 5.732 5.732 5.732
angles (deg): 109.47 109.47 109.47
Positions (direct):
Ac1 0.000 0.000 0.000
P1 0.250 0.500 0.750
P2 0.250 0.750 0.500
P3 0.500 0.250 0.750
P4 0.500 0.750 0.250
P5 0.750 0.250 0.500
P6 0.750 0.500 0.250

(4)
Below is a relaxed AcP crystal, with properties calculated at the PBE level.

Calculated values
DOS at the Fermi energy = 0.255 states/eV/f.u.
SG = No. 225
ΔH_f (0 K) = -1.468 eV/atom
Electronic total energy = -12.45 eV for the cell shown
Relative energy among the computed polymorphs = 0 meV/atom

a b c (Å): 4.450 4.450 4.450
angles (deg): 60.00 60.00 60.00
Positions (direct):
Ac1 0.000 0.000 0.000
P1 0.500 0.500 0.500

(5)
Below is a relaxed AcP3 crystal, with properties calculated at the PBE level.

Calculated values
DOS at the Fermi energy = 2.210 states/eV/f.u.
SG = No. 221
ΔH_f (0 K) = -0.278 eV/atom
Electronic total energy = -21.45 eV for the cell shown
Relative energy among the computed polymorphs = 294 meV/atom

a b c (Å): 4.375 4.375 4.375
angles (deg): 90.00 90.00 90.00
Positions (direct):
Ac1 0.000 0.000 0.000
P1 0.000 0.500 0.500
P2 0.500 0.000 0.500
P3 0.500 0.500 0.000

(6)
Below is a relaxed AcP5 crystal, with properties calculated at the PBE level.

Calculated values
DOS at the Fermi energy = 2.135 states/eV/f.u.
SG = No. 65
ΔH_f (0 K) = -0.219 eV/atom
Electronic total energy = -32.47 eV for the cell shown
Relative energy among the computed polymorphs = 329 meV/atom

a b c (Å): 6.676 6.676 3.589
angles (deg): 90.00 90.00 134.17
Positions (direct):
Ac1 0.000 0.000 0.000
P1 0.236 0.764 0.500
P2 0.357 0.643 0.000
P3 0.500 0.500 0.500
P4 0.643 0.357 0.000
P5 0.764 0.236 0.500

(7)
Below is a relaxed AcP3 crystal, with properties calculated at the PBE level.

Calculated values
DOS at the Fermi energy = 1.190 states/eV/f.u.
SG = No. 44
ΔH_f (0 K) = -0.571 eV/atom
Electronic total energy = -22.62 eV for the cell shown
Relative energy among the computed polymorphs = 0 meV/atom

a b c (Å): 5.755 5.755 5.755
angles (deg): 135.58 72.03 126.47
Positions (direct):
Ac1 0.000 0.000 0.000
P1 0.083 0.767 0.316
P2 0.450 0.767 0.684
P3 0.510 0.010 0.500

(8)
Below is a relaxed AcP5 crystal, with properties calculated at the PBE level.

Calculated values
DOS at the Fermi energy = 0.248 states/eV/f.u.
SG = No. 11
ΔH_f (0 K) = -0.549 eV/atom
Electronic total energy = -68.90 eV for the cell shown
Relative energy among the computed polymorphs = 0 meV/atom

a b c (Å): 4.930 9.832 5.791
angles (deg): 90.00 107.40 90.00
Positions (direct):
Ac1 0.085 0.250 0.399
Ac2 0.915 0.750 0.601
P1 0.295 0.250 0.948
P2 0.304 0.551 0.383
P3 0.304 0.949 0.383
P4 0.380 0.590 0.035
P5 0.380 0.910 0.035
P6 0.620 0.090 0.965
P7 0.620 0.410 0.965
P8 0.696 0.051 0.617
P9 0.696 0.449 0.617
P10 0.705 0.750 0.052

(9)
Below is a relaxed AcP3 crystal, with properties calculated at the PBE level.

Calculated values
DOS at the Fermi energy = 1.988 states/eV/f.u.
SG = No. 99
ΔH_f (0 K) = -0.491 eV/atom
Electronic total energy = -22.30 eV for the cell shown
Relative energy among the computed polymorphs = 80 meV/atom

a b c (Å): 4.727 4.727 4.202
angles (deg): 90.00 90.00 90.00
Positions (direct):
Ac1 0.000 0.000 0.000
P1 0.000 0.500 0.501
P2 0.500 0.000 0.501
P3 0.500 0.500 0.504

(10)
Below is a relaxed AcP crystal, with properties calculated at the PBE level.

Calculated values
DOS at the Fermi energy = 0.815 states/eV/f.u.
SG = No. 221
ΔH_f (0 K) = -1.099 eV/atom
Electronic total energy = -11.72 eV for the cell shown
Relative energy among the computed polymorphs = 368 meV/atom

a b c (Å): 3.768 3.768 3.768
angles (deg): 90.00 90.00 90.00
Positions (direct):
Ac1 0.000 0.000 0.000
P1 0.500 0.500 0.500

(11)
Below is a relaxed Ac4P crystal, with properties calculated at the PBE level.

Calculated values
DOS at the Fermi energy = 8.521 states/eV/f.u.
SG = No. 221
ΔH_f (0 K) = -0.420 eV/atom
Electronic total energy = -23.94 eV for the cell shown

a b c (Å): 5.993 5.993 5.993
angles (deg): 90.00 90.00 90.00
Positions (direct):
Ac1 0.000 0.000 0.000
Ac2 0.000 0.500 0.500
Ac3 0.500 0.000 0.500
Ac4 0.500 0.500 0.000
P1 0.500 0.500 0.500

(12)
Below is a relaxed AcPa2P crystal, with properties calculated at the PBE level.

Calculated values
DOS at the Fermi energy = 9.402 states/eV/f.u.
SG = No. 166
ΔH_f (0 K) = -0.103 eV/atom
Electronic total energy = -28.92 eV for the cell shown

a b c (Å): 10.733 10.733 10.733
angles (deg): 19.11 19.11 19.11
Positions (direct):
Ac1 0.000 0.000 0.000
Pa1 0.110 0.110 0.110
Pa2 0.890 0.890 0.890
P1 0.500 0.500 0.500

(13)
Below is a relaxed Ac3PaP4 crystal, with properties calculated at the PBE level.

Calculated values
DOS at the Fermi energy = 5.177 states/eV/f.u.
SG = No. 65
ΔH_f (0 K) = -1.373 eV/atom
Electronic total energy = -54.45 eV for the cell shown

a b c (Å): 7.472 7.472 4.293
angles (deg): 90.00 90.00 109.23
Positions (direct):
Ac1 0.000 0.000 0.000
Ac2 0.000 0.500 0.500
Ac3 0.500 0.000 0.500
Pa1 0.500 0.500 0.000
P1 0.267 0.733 0.000
P2 0.276 0.276 0.500
P3 0.724 0.724 0.500
P4 0.733 0.267 0.000

(14)
Below is a relaxed AcPaP2 crystal, with properties calculated at the PBE level.

Calculated values
DOS at the Fermi energy = 2.333 states/eV/f.u.
SG = No. 160
ΔH_f (0 K) = -1.212 eV/atom
Electronic total energy = -29.27 eV for the cell shown
Relative energy among the computed polymorphs = 130 meV/atom

a b c (Å): 7.633 7.633 7.633
angles (deg): 30.98 30.98 30.98
Positions (direct):
Ac1 0.000 0.000 0.000
Pa1 0.176 0.176 0.176
P1 0.578 0.578 0.578
P2 0.768 0.768 0.768

(15)
Below is a relaxed AcPaP2 crystal, with properties calculated at the PBE level.

Calculated values
DOS at the Fermi energy = 3.618 states/eV/f.u.
SG = No. 123
ΔH_f (0 K) = -1.019 eV/atom
Electronic total energy = -28.50 eV for the cell shown
Relative energy among the computed polymorphs = 323 meV/atom

a b c (Å): 3.547 3.547 7.190
angles (deg): 90.00 90.00 90.00
Positions (direct):
Ac1 0.000 0.000 0.000
Pa1 0.000 0.000 0.500
P1 0.500 0.500 0.281
P2 0.500 0.500 0.719

(16)
Below is a relaxed AcPaP2 crystal, with properties calculated at the PBE level.

Calculated values
DOS at the Fermi energy = 3.803 states/eV/f.u.
SG = No. 194
ΔH_f (0 K) = -1.321 eV/atom
Electronic total energy = -59.41 eV for the cell shown
Relative energy among the computed polymorphs = 21 meV/atom

a b c (Å): 4.134 4.134 13.979
angles (deg): 90.00 90.00 120.00
Positions (direct):
Ac1 0.333 0.667 0.250
Ac2 0.667 0.333 0.750
Pa1 0.000 0.000 0.000
Pa2 0.000 0.000 0.500
P1 0.333 0.667 0.607
P2 0.333 0.667 0.893
P3 0.667 0.333 0.107
P4 0.667 0.333 0.393

(17)
Below is a relaxed AcPaP2 crystal, with properties calculated at the PBE level.

Calculated values
DOS at the Fermi energy = 4.431 states/eV/f.u.
SG = No. 225
ΔH_f (0 K) = -0.874 eV/atom
Electronic total energy = -27.92 eV for the cell shown
Relative energy among the computed polymorphs = 468 meV/atom

a b c (Å): 5.060 5.060 5.060
angles (deg): 60.00 60.00 60.00
Positions (direct):
Ac1 0.000 0.000 0.000
Pa1 0.500 0.500 0.500
P1 0.250 0.250 0.250
P2 0.750 0.750 0.750

(18)
Below is a relaxed Ac4PaP5 crystal, with properties calculated at the PBE level.

Calculated values
DOS at the Fermi energy = 5.174 states/eV/f.u.
SG = No. 87
ΔH_f (0 K) = -1.389 eV/atom
Electronic total energy = -66.87 eV for the cell shown

a b c (Å): 7.509 7.509 7.509
angles (deg): 99.62 99.62 131.75
Positions (direct):
Ac1 0.096 0.300 0.397
Ac2 0.300 0.904 0.204
Ac3 0.700 0.096 0.796
Ac4 0.904 0.700 0.603
Pa1 0.500 0.500 0.000
P1 0.000 0.000 0.000
P2 0.224 0.592 0.816
P3 0.408 0.224 0.631
P4 0.592 0.776 0.369
P5 0.776 0.408 0.184

(19)
Below is a relaxed AcPaP3 crystal, with properties calculated at the PBE level.

Calculated values
DOS at the Fermi energy = 6.105 states/eV/f.u.
SG = No. 221
ΔH_f (0 K) = -0.718 eV/atom
Electronic total energy = -33.42 eV for the cell shown

a b c (Å): 5.237 5.237 5.237
angles (deg): 90.00 90.00 90.00
Positions (direct):
Ac1 0.000 0.000 0.000
Pa1 0.500 0.500 0.500
P1 0.000 0.500 0.500
P2 0.500 0.000 0.500
P3 0.500 0.500 0.000

(20)
Below is a relaxed AcPaP2 crystal, with properties calculated at the PBE level.

Calculated values
DOS at the Fermi energy = 3.310 states/eV/f.u.
SG = No. 166
ΔH_f (0 K) = -1.342 eV/atom
Electronic total energy = -29.79 eV for the cell shown
Relative energy among the computed polymorphs = 0 meV/atom

a b c (Å): 7.328 7.328 7.328
angles (deg): 32.94 32.94 32.94
Positions (direct):
Ac1 0.000 0.000 0.000
Pa1 0.500 0.500 0.500
P1 0.238 0.238 0.238
P2 0.762 0.762 0.762

(21)
Below is a relaxed Ac3Pm2PaP6 crystal, with properties calculated at the PBE level.

Calculated values
DOS at the Fermi energy = 4.291 states/eV/f.u.
SG = No. 12
ΔH_f (0 K) = -1.463 eV/atom
Electronic total energy = -81.34 eV for the cell shown

a b c (Å): 7.329 7.329 7.405
angles (deg): 99.49 99.49 119.98
Positions (direct):
Ac1 0.000 0.000 0.000
Ac2 0.331 0.669 0.000
Ac3 0.669 0.331 0.000
Pm1 0.166 0.834 0.500
Pm2 0.834 0.166 0.500
Pa1 0.500 0.500 0.500
P1 0.104 0.425 0.275
P2 0.256 0.256 0.727
P3 0.425 0.104 0.275
P4 0.575 0.896 0.725
P5 0.744 0.744 0.273
P6 0.896 0.575 0.725

(22)
Below is a relaxed Ac3Pr2PaP6 crystal, with properties calculated at the PBE level.

Calculated values
DOS at the Fermi energy = 4.284 states/eV/f.u.
SG = No. 12
ΔH_f (0 K) = -1.451 eV/atom
Electronic total energy = -81.25 eV for the cell shown

a b c (Å): 7.378 7.378 7.434
angles (deg): 99.52 99.52 119.98
Positions (direct):
Ac1 0.000 0.000 0.000
Ac2 0.330 0.670 0.000
Ac3 0.670 0.330 0.000
Pr1 0.166 0.834 0.500
Pr2 0.834 0.166 0.500
Pa1 0.500 0.500 0.500
P1 0.107 0.424 0.272
P2 0.260 0.260 0.729
P3 0.424 0.107 0.272
P4 0.576 0.893 0.728
P5 0.740 0.740 0.271
P6 0.893 0.576 0.728

(23)
Below is a relaxed AcPr2PaP4 crystal, with properties calculated at the PBE level.

Calculated values
DOS at the Fermi energy = 3.906 states/eV/f.u.
SG = No. 119
ΔH_f (0 K) = -1.401 eV/atom
Electronic total energy = -56.01 eV for the cell shown

a b c (Å): 7.276 7.276 7.276
angles (deg): 131.92 131.92 70.36
Positions (direct):
Ac1 0.000 0.000 0.000
Pr1 0.500 0.500 0.000
Pr2 0.750 0.250 0.500
Pa1 0.250 0.750 0.500
P1 0.016 0.516 0.500
P2 0.255 0.255 0.000
P3 0.484 0.984 0.500
P4 0.745 0.745 0.000

(24)
Below is a relaxed Ac2PaP3Rh12 crystal, with properties calculated at the PBE level.

Calculated values
DOS at the Fermi energy = 10.509 states/eV/f.u.
SG = No. 166
ΔH_f (0 K) = -0.419 eV/atom
Electronic total energy = -129.70 eV for the cell shown

a b c (Å): 7.564 7.564 7.564
angles (deg): 66.28 66.28 66.28
Positions (direct):
Ac1 0.104 0.104 0.104
Ac2 0.896 0.896 0.896
Pa1 0.500 0.500 0.500
P1 0.000 0.500 0.500
P2 0.500 0.000 0.500
P3 0.500 0.500 0.000
Rh1 0.120 0.633 0.633
Rh2 0.168 0.168 0.589
Rh3 0.168 0.589 0.168
Rh4 0.367 0.367 0.880
Rh5 0.367 0.880 0.367
Rh6 0.411 0.832 0.832
Rh7 0.589 0.168 0.168
Rh8 0.633 0.120 0.633
Rh9 0.633 0.633 0.120
Rh10 0.832 0.411 0.832
Rh11 0.832 0.832 0.411
Rh12 0.880 0.367 0.367

(25)
Below is a relaxed Ac3PaP2Rh9 crystal, with properties calculated at the PBE level.

Calculated values
DOS at the Fermi energy = 6.948 states/eV/f.u.
SG = No. 164
ΔH_f (0 K) = -0.703 eV/atom
Electronic total energy = -109.35 eV for the cell shown

a b c (Å): 6.217 6.217 9.333
angles (deg): 90.00 90.00 120.00
Positions (direct):
Ac1 0.000 0.000 0.000
Ac2 0.333 0.667 0.675
Ac3 0.667 0.333 0.325
Pa1 0.000 0.000 0.500
P1 0.333 0.667 0.155
P2 0.667 0.333 0.845
Rh1 0.000 0.500 0.000
Rh2 0.155 0.310 0.287
Rh3 0.155 0.845 0.287
Rh4 0.310 0.155 0.713
Rh5 0.500 0.000 0.000
Rh6 0.500 0.500 0.000
Rh7 0.690 0.845 0.287
Rh8 0.845 0.155 0.713
Rh9 0.845 0.690 0.713

(26)
Below is a relaxed AcPaPSe crystal, with properties calculated at the PBE level.

Calculated values
DOS at the Fermi energy = 4.148 states/eV/f.u.
SG = No. 216
Electronic total energy = -26.61 eV for the cell shown

a b c (Å): 5.155 5.155 5.155
angles (deg): 60.00 60.00 60.00
Positions (direct):
Ac1 0.000 0.000 0.000
Pa1 0.500 0.500 0.500
P1 0.250 0.250 0.250
Se1 0.750 0.750 0.750